# La2TlIr

La2TlIr after structural relaxation (PBE-GGA, Alexandria).

Structure (CIF):
```
data_La2TlIr
_space_group_name_H-M_alt 'P 1'
_space_group_IT_number 1
_cell_length_a 5.934
_cell_length_b 5.934
_cell_length_c 5.934
_cell_angle_alpha 135.06
_cell_angle_beta 135.06
_cell_angle_gamma 65.43
loop_
_space_group_symop_operation_xyz
'x,y,z'
loop_
_atom_site_label
_atom_site_type_symbol
_atom_site_fract_x
_atom_site_fract_y
_atom_site_fract_z
Ir1 Ir 0.750 0.250 0.500
La1 La 0.000 0.000 0.000
La2 La 0.250 0.750 0.500
Tl1 Tl 0.500 0.500 0.000
```

Computed properties:
Energy of formation from the pure elements (eV per atom): -0.266
DFT total energy (hartree per atom): -0.20348
Spin magnetization (μB/atom): 0.000
Calculated volume (Å³/atom): 25.7